The following is a DFT calculation (PBE) of a relaxed Li6GePd6 crystal.

a = 4.912 Å, b = 4.912 Å, c = 8.501 Å
α = 90.00°, β = 90.00°, γ = 120.00°
Sites, in units of the cell vectors:
Li  0.000  0.500  0.247
Pd  0.667  0.333  0.000
Pd  0.333  0.667  0.000
Pd  0.000  0.000  0.345
Pd  0.333  0.667  0.500
Ge  0.000  0.000  0.000
Pd  0.667  0.333  0.500
Pd  0.000  0.000  0.655
Li  0.500  0.500  0.753
Li  0.500  0.000  0.247
Li  0.000  0.500  0.753
Li  0.500  0.500  0.247
Li  0.500  0.000  0.753

Summary:
V (Å³/cell): 177.7
Energy of formation (eV/atom): -0.304